1.
# Pa2HgBi8

An optimized crystal structure of Pa2HgBi8 (PBE-GGA, Alexandria).

Cell: 4.6827 4.6827 15.8809 Å, 90.00 90.00 90.00°
Positions (direct):
Bi  0.0000  0.5000  0.5000
Bi  0.5000  0.0000  0.1680
Bi  0.5000  0.0000  0.8320
Pa  0.0000  0.0000  0.6662
Bi  0.5000  0.5000  0.6678
Bi  0.5000  0.0000  0.5000
Hg  0.0000  0.0000  0.0000
Bi  0.5000  0.5000  0.3322
Bi  0.0000  0.5000  0.1680
Bi  0.0000  0.5000  0.8320
Pa  0.0000  0.0000  0.3338

The calculation puts the density of states at the Fermi level at 0.9508 states/eV per atom. The value obtained for the energy is -4.6409 eV per atom. The formation energy comes out at -64 meV per atom. The calculation puts the volume at 31.66 Å³ per atom. As for the space group: P4/mmm, No. 123.

***

2.
# CdGa2PtBr

An optimized crystal structure of CdGa2PtBr (PBE-GGA, Alexandria).

Cell: 4.8602 4.8602 5.3890 Å, 90.00 90.00 90.00°
Positions (direct):
Ga  0.0000  0.5000  0.0000
Pt  0.0000  0.0000  0.0000
Br  0.5000  0.5000  0.5000
Cd  0.0000  0.0000  0.5000
Ga  0.5000  0.0000  0.0000

The calculation puts the density of states at the Fermi level at 0.5049 states/eV per atom. The value obtained for the energy is -3.3867 eV per atom. The calculation puts the volume at 25.46 Å³ per atom. As for the space group: P4/mmm, No. 123.

***

3.
# Pr2Ho6Tm3In

An optimized crystal structure of Pr2Ho6Tm3In (PBE-GGA, Alexandria).

Cell: 6.0688 6.0688 11.6823 Å, 94.97 94.97 120.02°
Positions (direct):
Ho  0.9163  0.5889  0.7478
Tm  0.1665  0.8335  0.5000
Ho  0.5889  0.9163  0.7478
Tm  0.5000  0.5000  0.5000
In  0.0000  0.0000  0.0000
Pr  0.6663  0.3337  0.0000
Ho  0.7568  0.7568  0.2531
Tm  0.8335  0.1665  0.5000
Ho  0.2432  0.2432  0.7469
Ho  0.0837  0.4111  0.2522
Ho  0.4111  0.0837  0.2522
Pr  0.3337  0.6663  0.0000

The calculation puts the density of states at the Fermi level at 1.3147 states/eV per atom. The value obtained for the energy is -4.4859 eV per atom. The formation energy comes out at -54 meV per atom. The calculation puts the volume at 30.58 Å³ per atom. As for the space group: C2/m, No. 12.

***

4.
# TiPtW2C

An optimized crystal structure of TiPtW2C (PBE-GGA, Alexandria).

Cell: 4.7831 4.7237 4.7831 Å, 90.00 90.00 90.00°
Positions (direct):
Pt  0.0000  0.0000  0.0000
C  0.5000  0.5000  0.5000
W  0.5000  0.0000  0.0000
Ti  0.0000  0.5000  0.0000
W  0.0000  0.0000  0.5000

The calculation puts the density of states at the Fermi level at 1.2452 states/eV per atom. The value obtained for the energy is -7.0794 eV per atom. The formation energy comes out at 2734 meV per atom. The calculation puts the volume at 21.61 Å³ per atom. As for the space group: P4/mmm, No. 123.

***

5.
# Zr4TiPd

An optimized crystal structure of Zr4TiPd (PBE-GGA, Alexandria).

Cell: 5.4988 7.8537 7.4282 Å, 113.82 101.07 109.70°
Positions (direct):
Zr  0.9393  0.7940  0.1798
Pd  0.7450  0.9950  0.9900
Zr  0.2595  0.6142  0.8202
Pd  0.2550  0.0050  0.0100
Zr  0.3528  0.9193  0.6175
Ti  0.3618  0.6118  0.2236
Zr  0.6472  0.0807  0.3825
Ti  0.6382  0.3882  0.7764
Zr  0.7647  0.6982  0.6175
Zr  0.0607  0.2060  0.8202
Zr  0.7405  0.3859  0.1798
Zr  0.2353  0.3018  0.3825

The calculation puts the density of states at the Fermi level at 1.1029 states/eV per atom. The value obtained for the energy is -7.9947 eV per atom. The formation energy comes out at -115 meV per atom. The calculation puts the volume at 21.29 Å³ per atom. As for the space group: C2/c, No. 15.

***

6.
# NdLuGaPd

An optimized crystal structure of NdLuGaPd (PBE-GGA, Alexandria).

Cell: 5.0600 5.0600 5.0600 Å, 60.00 60.00 60.00°
Positions (direct):
Lu  0.0000  0.0000  0.0000
Pd  0.7500  0.7500  0.7500
Ga  0.2500  0.2500  0.2500
Nd  0.5000  0.5000  0.5000

The calculation puts the density of states at the Fermi level at 0.7395 states/eV per atom. The value obtained for the energy is -5.0372 eV per atom. The formation energy comes out at -660 meV per atom. The calculation puts the volume at 22.90 Å³ per atom. As for the space group: F-43m, No. 216.

***

Q: The highest energy belongs to which entry?
A: CdGa2PtBr

***

Q: Look up the volume of the first one.
A: 31.66 Å³ per atom

***

What did the third record say?
# Pr2Ho6Tm3In

An optimized crystal structure of Pr2Ho6Tm3In (PBE-GGA, Alexandria).

Cell: 6.0688 6.0688 11.6823 Å, 94.97 94.97 120.02°
Positions (direct):
Ho  0.9163  0.5889  0.7478
Tm  0.1665  0.8335  0.5000
Ho  0.5889  0.9163  0.7478
Tm  0.5000  0.5000  0.5000
In  0.0000  0.0000  0.0000
Pr  0.6663  0.3337  0.0000
Ho  0.7568  0.7568  0.2531
Tm  0.8335  0.1665  0.5000
Ho  0.2432  0.2432  0.7469
Ho  0.0837  0.4111  0.2522
Ho  0.4111  0.0837  0.2522
Pr  0.3337  0.6663  0.0000

The calculation puts the density of states at the Fermi level at 1.3147 states/eV per atom. The value obtained for the energy is -4.4859 eV per atom. The formation energy comes out at -54 meV per atom. The calculation puts the volume at 30.58 Å³ per atom. As for the space group: C2/m, No. 12.